1.
# PBE CdNi3Ge, optimized geometry
data_CdNi3Ge
_chemical_formula_sum 'Cd1 Ni3 Ge1'
_cell_length_a 4.3531
_cell_length_b 4.3531
_cell_length_c 4.3531
_cell_angle_alpha 90.00
_cell_angle_beta 90.00
_cell_angle_gamma 90.00
_symmetry_space_group_name_H-M 'P 1'
_symmetry_Int_Tables_number 1
loop_
_symmetry_equiv_pos_as_xyz
'x,y,z'
loop_
_atom_site_label
_atom_site_type_symbol
_atom_site_fract_x
_atom_site_fract_y
_atom_site_fract_z
_atom_site_occupancy
Cd1 Cd 0.0000 0.0000 0.0000 1
Ni1 Ni 0.0000 0.5000 0.5000 1
Ni2 Ni 0.5000 0.0000 0.5000 1
Ni3 Ni 0.5000 0.5000 0.0000 1
Ge1 Ge 0.5000 0.5000 0.5000 1
# ΔH_f (0 K) = 174 kJ/mol of formula units
# Uncorrected energy = -21.07 eV per cell
# DOS at the Fermi energy = 2.5 states/eV/cell
# Space group = Pm-3m, No. 221
# V = 82.49 Å³/cell
# Distance to the lowest polymorph of the same formula = 383 meV per atom
# Crystal system = cubic

2.
# PBE KCuHg2Au, optimized geometry
data_KCuHg2Au
_chemical_formula_sum 'K1 Cu1 Hg2 Au1'
_cell_length_a 5.1848
_cell_length_b 5.1848
_cell_length_c 5.1412
_cell_angle_alpha 90.00
_cell_angle_beta 90.00
_cell_angle_gamma 90.00
_symmetry_space_group_name_H-M 'P 1'
_symmetry_Int_Tables_number 1
loop_
_symmetry_equiv_pos_as_xyz
'x,y,z'
loop_
_atom_site_label
_atom_site_type_symbol
_atom_site_fract_x
_atom_site_fract_y
_atom_site_fract_z
_atom_site_occupancy
K1 K 0.0000 0.0000 0.0000 1
Cu1 Cu 0.5000 0.5000 0.5000 1
Hg1 Hg 0.0000 0.5000 0.5000 1
Hg2 Hg 0.5000 0.0000 0.5000 1
Au1 Au 0.5000 0.5000 0.0000 1
# ΔH_f (0 K) = -40 kJ/mol of formula units
# Uncorrected energy = -9.48 eV per cell
# DOS at the Fermi energy = 1.5 states/eV/cell
# Space group = P4/mmm, No. 123
# V = 138.21 Å³/cell
# Distance to the lowest polymorph of the same formula = 0 meV per atom
# Crystal system = tetragonal

3.
# PBE Mg2GePb2, optimized geometry
data_Mg2GePb2
_chemical_formula_sum 'Mg4 Ge2 Pb4'
_cell_length_a 8.6831
_cell_length_b 8.6831
_cell_length_c 3.4223
_cell_angle_alpha 90.00
_cell_angle_beta 90.00
_cell_angle_gamma 90.00
_symmetry_space_group_name_H-M 'P 1'
_symmetry_Int_Tables_number 1
loop_
_symmetry_equiv_pos_as_xyz
'x,y,z'
loop_
_atom_site_label
_atom_site_type_symbol
_atom_site_fract_x
_atom_site_fract_y
_atom_site_fract_z
_atom_site_occupancy
Mg1 Mg 0.1355 0.3645 0.0000 1
Mg2 Mg 0.3645 0.8645 0.0000 1
Mg3 Mg 0.6355 0.1355 0.0000 1
Mg4 Mg 0.8645 0.6355 0.0000 1
Ge1 Ge 0.0000 0.0000 0.5000 1
Ge2 Ge 0.5000 0.5000 0.5000 1
Pb1 Pb 0.1633 0.6633 0.5000 1
Pb2 Pb 0.3367 0.1633 0.5000 1
Pb3 Pb 0.6633 0.8367 0.5000 1
Pb4 Pb 0.8367 0.3367 0.5000 1
# ΔH_f (0 K) = 76 kJ/mol of formula units
# Uncorrected energy = -28.86 eV per cell
# DOS at the Fermi energy = 5.2 states/eV/cell
# Space group = P4/mbm, No. 127
# V = 258.03 Å³/cell
# Distance to the lowest polymorph of the same formula = 109 meV per atom
# Crystal system = tetragonal

4.
# PBE YCd2Ni, optimized geometry
data_YCd2Ni
_chemical_formula_sum 'Y1 Cd2 Ni1'
_cell_length_a 4.1252
_cell_length_b 4.1252
_cell_length_c 4.9425
_cell_angle_alpha 90.00
_cell_angle_beta 90.00
_cell_angle_gamma 90.00
_symmetry_space_group_name_H-M 'P 1'
_symmetry_Int_Tables_number 1
loop_
_symmetry_equiv_pos_as_xyz
'x,y,z'
loop_
_atom_site_label
_atom_site_type_symbol
_atom_site_fract_x
_atom_site_fract_y
_atom_site_fract_z
_atom_site_occupancy
Y1 Y 0.0000 0.0000 0.0000 1
Cd1 Cd 0.0000 0.5000 0.5000 1
Cd2 Cd 0.5000 0.0000 0.5000 1
Ni1 Ni 0.5000 0.5000 0.0000 1
# ΔH_f (0 K) = -44 kJ/mol of formula units
# Uncorrected energy = -14.53 eV per cell
# DOS at the Fermi energy = 3.1 states/eV/cell
# Space group = P4/mmm, No. 123
# V = 84.11 Å³/cell
# Crystal system = tetragonal

5.
# PBE SeI, optimized geometry
data_SeI
_chemical_formula_sum 'Se4 I4'
_cell_length_a 9.8932
_cell_length_b 9.8932
_cell_length_c 9.8932
_cell_angle_alpha 91.55
_cell_angle_beta 91.55
_cell_angle_gamma 161.08
_symmetry_space_group_name_H-M 'P 1'
_symmetry_Int_Tables_number 1
loop_
_symmetry_equiv_pos_as_xyz
'x,y,z'
loop_
_atom_site_label
_atom_site_type_symbol
_atom_site_fract_x
_atom_site_fract_y
_atom_site_fract_z
_atom_site_occupancy
Se1 Se 0.0418 0.2816 0.3234 1
Se2 Se 0.2816 0.9582 0.2398 1
Se3 Se 0.7184 0.0418 0.7602 1
Se4 Se 0.9582 0.7184 0.6766 1
I1 I 0.1239 0.8341 0.9580 1
I2 I 0.1659 0.1239 0.2898 1
I3 I 0.8341 0.8761 0.7102 1
I4 I 0.8761 0.1659 0.0420 1
# Uncorrected energy = -17.73 eV per cell
# DOS at the Fermi energy = 5.4 states/eV/cell
# Space group = I4/m, No. 87
# V = 309.68 Å³/cell
# Crystal system = tetragonal

6.
# PBE HfTcTe2, optimized geometry
data_HfTcTe2
_chemical_formula_sum 'Hf1 Tc1 Te2'
_cell_length_a 9.7816
_cell_length_b 9.7816
_cell_length_c 9.7816
_cell_angle_alpha 19.54
_cell_angle_beta 19.54
_cell_angle_gamma 19.54
_symmetry_space_group_name_H-M 'P 1'
_symmetry_Int_Tables_number 1
loop_
_symmetry_equiv_pos_as_xyz
'x,y,z'
loop_
_atom_site_label
_atom_site_type_symbol
_atom_site_fract_x
_atom_site_fract_y
_atom_site_fract_z
_atom_site_occupancy
Hf1 Hf 0.0000 0.0000 0.0000 1
Tc1 Tc 0.5000 0.5000 0.5000 1
Te1 Te 0.0998 0.0998 0.0998 1
Te2 Te 0.9002 0.9002 0.9002 1
# Uncorrected energy = -25.80 eV per cell
# DOS at the Fermi energy = 3.1 states/eV/cell
# Space group = R-3m, No. 166
# V = 91.52 Å³/cell
# Distance to the lowest polymorph of the same formula = 190 meV per atom
# Crystal system = trigonal

7.
# PBE CrCdBr2, optimized geometry
data_CrCdBr2
_chemical_formula_sum 'Cr1 Cd1 Br2'
_cell_length_a 3.4609
_cell_length_b 3.4609
_cell_length_c 8.6955
_cell_angle_alpha 90.00
_cell_angle_beta 90.00
_cell_angle_gamma 90.00
_symmetry_space_group_name_H-M 'P 1'
_symmetry_Int_Tables_number 1
loop_
_symmetry_equiv_pos_as_xyz
'x,y,z'
loop_
_atom_site_label
_atom_site_type_symbol
_atom_site_fract_x
_atom_site_fract_y
_atom_site_fract_z
_atom_site_occupancy
Cr1 Cr 0.0000 0.0000 0.0000 1
Cd1 Cd 0.5000 0.5000 0.7674 1
Br1 Br 0.0000 0.0000 0.5752 1
Br2 Br 0.5000 0.5000 0.1648 1
# Uncorrected energy = -14.25 eV per cell
# DOS at the Fermi energy = 3.3 states/eV/cell
# Space group = P4mm, No. 99
# V = 104.15 Å³/cell
# Distance to the lowest polymorph of the same formula = 238 meV per atom
# Crystal system = tetragonal

8.
# PBE SrAcInPb, optimized geometry
data_SrAcInPb
_chemical_formula_sum 'Sr1 Ac1 In1 Pb1'
_cell_length_a 4.7170
_cell_length_b 6.6689
_cell_length_c 6.6689
_cell_angle_alpha 44.45
_cell_angle_beta 90.00
_cell_angle_gamma 90.00
_symmetry_space_group_name_H-M 'P 1'
_symmetry_Int_Tables_number 1
loop_
_symmetry_equiv_pos_as_xyz
'x,y,z'
loop_
_atom_site_label
_atom_site_type_symbol
_atom_site_fract_x
_atom_site_fract_y
_atom_site_fract_z
_atom_site_occupancy
Sr1 Sr 0.0000 0.0000 0.0000 1
Ac1 Ac 0.5000 0.2721 0.2721 1
In1 In 0.0000 0.7169 0.7169 1
Pb1 Pb 0.5000 0.5563 0.5563 1
# ΔH_f (0 K) = -194 kJ/mol of formula units
# Uncorrected energy = -14.25 eV per cell
# DOS at the Fermi energy = 2.1 states/eV/cell
# Space group = Amm2, No. 38
# V = 146.90 Å³/cell
# Distance to the lowest polymorph of the same formula = 0 meV per atom
# Crystal system = orthorhombic

9.
# PBE Li4GdMg, optimized geometry
data_Li4GdMg
_chemical_formula_sum 'Li4 Gd1 Mg1'
_cell_length_a 5.6777
_cell_length_b 5.6777
_cell_length_c 5.6777
_cell_angle_alpha 60.00
_cell_angle_beta 60.00
_cell_angle_gamma 60.00
_symmetry_space_group_name_H-M 'P 1'
_symmetry_Int_Tables_number 1
loop_
_symmetry_equiv_pos_as_xyz
'x,y,z'
loop_
_atom_site_label
_atom_site_type_symbol
_atom_site_fract_x
_atom_site_fract_y
_atom_site_fract_z
_atom_site_occupancy
Li1 Li 0.1235 0.1235 0.1235 1
Li2 Li 0.1235 0.1235 0.6295 1
Li3 Li 0.1235 0.6295 0.1235 1
Li4 Li 0.6295 0.1235 0.1235 1
Gd1 Gd 0.5000 0.5000 0.5000 1
Mg1 Mg 0.7500 0.7500 0.7500 1
# ΔH_f (0 K) = 10 kJ/mol of formula units
# Uncorrected energy = -23.23 eV per cell
# DOS at the Fermi energy = 5.7 states/eV/cell
# Space group = F-43m, No. 216
# V = 129.42 Å³/cell
# Crystal system = cubic

10.
# PBE Ba2CaHg, optimized geometry
data_Ba2CaHg
_chemical_formula_sum 'Ba2 Ca1 Hg1'
_cell_length_a 5.9155
_cell_length_b 4.3351
_cell_length_c 7.8937
_cell_angle_alpha 90.00
_cell_angle_beta 111.95
_cell_angle_gamma 90.00
_symmetry_space_group_name_H-M 'P 1'
_symmetry_Int_Tables_number 1
loop_
_symmetry_equiv_pos_as_xyz
'x,y,z'
loop_
_atom_site_label
_atom_site_type_symbol
_atom_site_fract_x
_atom_site_fract_y
_atom_site_fract_z
_atom_site_occupancy
Ba1 Ba 0.0000 0.0000 0.0000 1
Ba2 Ba 0.3101 0.5000 0.6189 1
Ca1 Ca 0.6926 0.0000 0.3838 1
Hg1 Hg 0.5397 0.5000 0.0816 1
# ΔH_f (0 K) = -80 kJ/mol of formula units
# Uncorrected energy = -6.98 eV per cell
# DOS at the Fermi energy = 4.7 states/eV/cell
# Space group = Pm, No. 6
# V = 187.76 Å³/cell
# Distance to the lowest polymorph of the same formula = 54 meV per atom
# Crystal system = monoclinic